Pm2SbAs: relaxed, PBE-GGA.

Cell: 4.3672 4.3672 6.1827 Å, 90.00 90.00 90.00°
Space group P4/mmm (No. 123)
Inequivalent atoms, fractional coordinates:
Pm 0.0000 0.0000 0.0000 (multiplicity 1)
Pm 0.5000 0.5000 0.5000 (multiplicity 1)
Sb 0.0000 0.0000 0.5000 (multiplicity 1)
As 0.5000 0.5000 0.0000 (multiplicity 1)

Properties
* magnetic moment: 0.0 μB per cell
* energy: -23.504 eV for the cell shown